(1)
Material: HSeF2
Method: DFT, PBE
State: relaxed

Geometry as POSCAR:
```
HSeF2
1.0
3.5133 -0.0005 0.0002
0.0018 4.1949 -0.0124
1.6929 0.2723 8.2269
H Se F
2 2 4
Cartesian
1.9034 0.3424 3.1000
1.8909 2.4588 3.3252
3.6394 0.6169 6.7232
1.8841 3.4792 7.7868
3.6389 3.7506 5.2065
1.9347 3.6639 2.6000
1.9482 1.6764 0.2315
1.8581 1.5771 3.8063
```

Values from the calculation:
mass density	3.23	Mg/m³
energy relative to the lowest polymorph listed for this composition	16	meV per atom
symmetry	P1, No. 1

(2)
Material: HSe2F
Method: DFT, PBE
State: relaxed

Geometry as POSCAR:
```
HSe2F
1.0
5.6167 -0.0031 -0.0652
-0.7166 5.8446 -0.0292
-1.5177 -0.8625 6.2758
H Se F
2 4 2
Cartesian
-1.0653 4.4132 4.3647
3.3256 -0.5859 4.9109
2.7254 1.6059 1.5577
1.2325 2.2157 3.3151
3.9611 3.4385 0.8762
0.0197 4.0800 2.5670
2.4265 -0.2442 4.8198
-1.5732 4.6483 5.1773
```

Values from the calculation:
mass density	2.88	Mg/m³
energy relative to the lowest polymorph listed for this composition	17	meV per atom
symmetry	P1, No. 1

(3)
Material: HSeF2
Method: DFT, PBE
State: relaxed

Geometry as POSCAR:
```
HSeF2
1.0
3.4577 0.0105 -0.0063
-0.0276 5.9396 -0.3423
-1.7032 -1.0862 6.4672
H Se F
2 2 4
Cartesian
-0.4226 3.2115 2.2970
1.3144 2.3852 4.4576
1.2909 5.3519 0.1543
-0.4110 0.2549 2.0118
3.0396 2.0246 1.3358
1.3139 3.4733 5.3447
1.3149 1.6150 3.8173
-0.4267 4.0389 2.8177
```

Values from the calculation:
mass density	2.98	Mg/m³
energy relative to the lowest polymorph listed for this composition	33	meV per atom
symmetry	P1, No. 1

(4)
Material: HSeF2
Method: DFT, PBE
State: relaxed

Geometry as POSCAR:
```
HSeF2
1.0
-2.5222 1.0431 -2.1110
-3.3160 -5.1505 0.9259
-0.1608 4.0536 5.2909
H Se F
2 2 4
Cartesian
-1.9461 0.0689 2.4247
-1.0365 2.2041 4.8885
-5.1010 0.5282 3.4159
-4.7133 -3.7264 0.5315
-2.6188 -0.5880 2.8100
-1.0731 1.0024 1.9432
-2.2528 3.8953 2.2069
-1.8830 1.9174 5.2691
```

Values from the calculation:
mass density	3.10	Mg/m³
energy relative to the lowest polymorph listed for this composition	37	meV per atom
symmetry	P1, No. 1

(5)
Material: HSe2F
Method: DFT, PBE
State: relaxed

Geometry as POSCAR:
```
HSe2F
1.0
-0.6695 -3.4253 6.1654
-0.7723 -5.7334 4.0897
1.9665 -4.5996 5.0170
H Se F
1 2 1
Cartesian
0.2624 -6.8792 7.6361
0.4701 -12.3267 13.6829
0.0546 -1.4317 1.5892
0.0000 0.0000 0.0000
```

Values from the calculation:
mass density	5.16	Mg/m³
energy relative to the lowest polymorph listed for this composition	1023	meV per atom
symmetry	R-3m, No. 166

(6)
Material: HSe2F
Method: DFT, PBE
State: relaxed

Geometry as POSCAR:
```
HSe2F
1.0
6.6661 0.0000 0.0181
0.0000 4.2682 0.0000
-0.2197 0.0000 6.7019
H Se F
2 4 2
Cartesian
-0.1432 0.2941 6.6205
6.5896 2.4281 0.0996
4.7283 0.6593 3.3454
1.7182 2.7934 3.3746
3.2721 2.4405 1.8562
3.1743 0.3064 4.8638
6.2372 1.5523 0.4214
0.2092 3.6864 6.2986
```

Values from the calculation:
mass density	3.10	Mg/m³
energy relative to the lowest polymorph listed for this composition	8	meV per atom
symmetry	P2_1, No. 4

(7)
Material: HSeF2
Method: DFT, PBE
State: relaxed

Geometry as POSCAR:
```
HSeF2
1.0
3.5034 -0.0213 -0.0123
-0.9210 5.9826 -0.0199
-1.6897 -2.7311 5.8817
H Se F
2 2 4
Cartesian
1.6941 2.6653 2.0741
-0.7595 0.5623 4.6940
2.2823 0.1970 0.0875
-0.3939 5.0257 1.2935
2.3698 1.5965 1.5122
-1.0154 -0.3731 4.7502
-0.3556 2.0694 4.5938
1.3729 3.5322 2.4801
```

Values from the calculation:
mass density	3.19	Mg/m³
energy relative to the lowest polymorph listed for this composition	24	meV per atom
symmetry	P1, No. 1

(8)
Material: HSe2F
Method: DFT, PBE
State: relaxed

Geometry as POSCAR:
```
HSe2F
1.0
-1.3016 3.7829 3.3426
-3.7606 0.0378 -4.7572
-1.4235 -5.6724 1.8688
H Se F
2 4 2
Cartesian
-1.4026 0.8238 0.2312
-3.5026 2.0499 -0.0204
-4.9864 -2.1797 -2.3886
-4.3787 1.6689 -1.1658
-3.7553 -3.5288 -0.8279
-3.7424 -0.9393 -0.7661
-1.8657 0.3179 1.0703
-2.3429 -4.2180 1.1536
```

Values from the calculation:
mass density	3.72	Mg/m³
energy relative to the lowest polymorph listed for this composition	151	meV per atom
symmetry	P1, No. 1

(9)
Material: HSeF3
Method: DFT, PBE
State: relaxed

Geometry as POSCAR:
```
HSeF3
1.0
4.1865 0.0000 0.0000
0.0000 4.1865 0.0000
0.0000 0.0000 4.1865
H Se F
1 1 3
Cartesian
2.0932 2.0932 2.0932
0.0000 0.0000 0.0000
0.0000 2.0932 0.0000
0.0000 0.0000 2.0932
2.0932 0.0000 0.0000
```

Values from the calculation:
mass density	3.10	Mg/m³
energy relative to the lowest polymorph listed for this composition	0	meV per atom
symmetry	Pm-3m, No. 221

(10)
Material: HSe2F
Method: DFT, PBE
State: relaxed

Geometry as POSCAR:
```
HSe2F
1.0
4.2647 -0.0261 0.0012
-0.2439 6.6291 -0.0104
-2.0139 -3.2890 7.1822
H Se F
2 4 2
Cartesian
2.6876 -1.9774 5.3189
0.5553 -1.9629 5.5347
0.5876 1.9773 2.8842
-0.5316 0.0287 2.4525
0.4668 5.2882 0.7680
3.6114 3.3156 1.2060
-0.3232 -1.9606 6.0099
1.8094 -1.9817 4.8432
```

Values from the calculation:
mass density	2.91	Mg/m³
energy relative to the lowest polymorph listed for this composition	22	meV per atom
symmetry	Cc, No. 9

(11)
Material: HSe2F
Method: DFT, PBE
State: relaxed

Geometry as POSCAR:
```
HSe2F
1.0
4.3250 0.0026 0.2907
-0.0049 6.1875 -0.0230
-1.0192 -3.0620 7.2889
H Se F
2 4 2
Cartesian
1.5778 0.3944 5.8543
-0.5717 0.6207 5.6851
1.6483 1.9191 1.9014
-0.2365 5.0131 2.3049
2.5849 3.4041 3.4905
3.1536 0.3012 1.0212
0.3047 1.0830 5.7296
2.4583 -0.0616 5.9310
```

Values from the calculation:
mass density	3.01	Mg/m³
energy relative to the lowest polymorph listed for this composition	0	meV per atom
symmetry	P1, No. 1

(12)
Material: HSe2F
Method: DFT, PBE
State: relaxed

Geometry as POSCAR:
```
HSe2F
1.0
-1.9130 1.2069 3.5401
-3.8734 1.6193 -0.1525
-3.2566 -2.2008 1.4831
H Se F
1 2 1
Cartesian
0.0000 0.0000 0.0000
-2.2608 0.1563 1.2177
-6.7823 0.4690 3.6531
-4.5216 0.3127 2.4354
```

Values from the calculation:
mass density	5.64	Mg/m³
energy relative to the lowest polymorph listed for this composition	1203	meV per atom
symmetry	Fm-3m, No. 225

- Number 10 is which compound?
  HSe2F

- The highest energy relative to the lowest polymorph listed for this composition belongs to which entry?
  number 12